No. 1
Here is a geometry-optimized Pm2RuRhO6 structure from the Alexandria database. Energies are from PBE-GGA.

Cell and atoms, written as POSCAR:
```
Pm2RuRhO6
1.0
5.311 0.000 0.000
0.000 5.999 0.000
-5.240 0.000 7.746
Pm Ru Rh O
4 2 2 12
direct
0.219 0.080 0.250 Pm
0.219 0.420 0.750 Pm
0.781 0.580 0.250 Pm
0.781 0.920 0.750 Pm
0.000 0.000 0.500 Ru
0.000 0.500 0.000 Ru
0.500 0.000 0.000 Rh
0.500 0.500 0.500 Rh
0.119 0.194 0.943 O
0.119 0.306 0.443 O
0.265 0.692 0.946 O
0.265 0.808 0.446 O
0.364 0.047 0.746 O
0.364 0.453 0.246 O
0.636 0.547 0.754 O
0.636 0.953 0.254 O
0.735 0.192 0.554 O
0.735 0.308 0.054 O
0.881 0.694 0.557 O
0.881 0.806 0.057 O
```

=====

No. 2
Here is a geometry-optimized PmRhS2O8 structure from the Alexandria database. Energies are from PBE-GGA.

Cell and atoms, written as POSCAR:
```
PmRhS2O8
1.0
5.214 0.000 0.000
-2.607 4.516 0.000
0.000 0.000 7.354
Pm Rh S O
1 1 2 8
direct
0.000 0.000 0.000 Pm
0.000 0.000 0.500 Rh
0.333 0.667 0.194 S
0.667 0.333 0.806 S
0.176 0.353 0.257 O
0.176 0.824 0.257 O
0.333 0.667 0.991 O
0.353 0.176 0.743 O
0.647 0.824 0.257 O
0.667 0.333 0.009 O
0.824 0.176 0.743 O
0.824 0.647 0.743 O
```

=====

No. 3
Here is a geometry-optimized PmSbRhO structure from the Alexandria database. Energies are from PBE-GGA.

Cell and atoms, written as POSCAR:
```
PmSbRhO
1.0
4.199 0.000 0.000
0.000 4.199 0.000
0.000 0.000 8.809
Pm Sb Rh O
2 2 2 2
direct
0.250 0.250 0.123 Pm
0.750 0.750 0.877 Pm
0.250 0.250 0.675 Sb
0.750 0.750 0.325 Sb
0.250 0.750 0.500 Rh
0.750 0.250 0.500 Rh
0.250 0.750 0.000 O
0.750 0.250 0.000 O
```

=====

No. 4
Here is a geometry-optimized PmSbRhO6 structure from the Alexandria database. Energies are from PBE-GGA.

Cell and atoms, written as POSCAR:
```
PmSbRhO6
1.0
5.295 0.000 0.000
-2.648 4.586 0.000
0.000 0.000 10.115
Pm Sb Rh O
2 2 2 12
direct
0.000 0.000 0.000 Pm
0.000 0.000 0.500 Pm
0.333 0.667 0.250 Sb
0.667 0.333 0.750 Sb
0.333 0.667 0.750 Rh
0.667 0.333 0.250 Rh
0.000 0.360 0.142 O
0.000 0.360 0.642 O
0.000 0.640 0.358 O
0.000 0.640 0.858 O
0.360 0.000 0.142 O
0.360 0.000 0.642 O
0.360 0.360 0.358 O
0.360 0.360 0.858 O
0.640 0.000 0.358 O
0.640 0.000 0.858 O
0.640 0.640 0.142 O
0.640 0.640 0.642 O
```

=====

No. 5
Here is a geometry-optimized Pm2ScRhO6 structure from the Alexandria database. Energies are from PBE-GGA.

Cell and atoms, written as POSCAR:
```
Pm2ScRhO6
1.0
5.503 0.000 0.000
0.000 5.819 0.000
-5.347 0.000 7.914
Pm Sc Rh O
4 2 2 12
direct
0.229 0.066 0.249 Pm
0.229 0.434 0.749 Pm
0.771 0.566 0.251 Pm
0.771 0.934 0.751 Pm
0.500 0.000 0.000 Sc
0.500 0.500 0.500 Sc
0.000 0.000 0.500 Rh
0.000 0.500 0.000 Rh
0.137 0.198 0.945 O
0.137 0.302 0.445 O
0.248 0.701 0.943 O
0.248 0.799 0.443 O
0.360 0.040 0.747 O
0.360 0.460 0.247 O
0.640 0.540 0.753 O
0.640 0.960 0.253 O
0.752 0.201 0.557 O
0.752 0.299 0.057 O
0.863 0.698 0.555 O
0.863 0.802 0.055 O
```

=====

No. 6
Here is a geometry-optimized PmScRhO6 structure from the Alexandria database. Energies are from PBE-GGA.

Cell and atoms, written as POSCAR:
```
PmScRhO6
1.0
5.308 0.000 0.000
-2.654 4.597 0.000
0.000 0.000 10.081
Pm Sc Rh O
2 2 2 12
direct
0.000 0.000 0.000 Pm
0.000 0.000 0.500 Pm
0.333 0.667 0.250 Sc
0.667 0.333 0.750 Sc
0.333 0.667 0.750 Rh
0.667 0.333 0.250 Rh
0.021 0.369 0.640 O
0.021 0.652 0.860 O
0.348 0.369 0.860 O
0.348 0.979 0.640 O
0.369 0.021 0.140 O
0.369 0.348 0.360 O
0.631 0.652 0.640 O
0.631 0.979 0.860 O
0.652 0.021 0.360 O
0.652 0.631 0.140 O
0.979 0.348 0.140 O
0.979 0.631 0.360 O
```

=====

No. 7
Here is a geometry-optimized Sr2PmRhO6 structure from the Alexandria database. Energies are from PBE-GGA.

Cell and atoms, written as POSCAR:
```
Sr2PmRhO6
1.0
5.868 0.000 0.000
0.000 5.968 0.000
-5.765 0.000 8.344
Sr Pm Rh O
4 2 2 12
direct
0.238 0.043 0.249 Sr
0.238 0.457 0.749 Sr
0.762 0.543 0.251 Sr
0.762 0.957 0.751 Sr
0.500 0.000 0.000 Pm
0.500 0.500 0.500 Pm
0.000 0.000 0.500 Rh
0.000 0.500 0.000 Rh
0.142 0.228 0.953 O
0.142 0.272 0.453 O
0.227 0.694 0.957 O
0.227 0.806 0.457 O
0.314 0.025 0.730 O
0.314 0.475 0.230 O
0.686 0.525 0.770 O
0.686 0.975 0.270 O
0.773 0.194 0.543 O
0.773 0.306 0.043 O
0.858 0.728 0.547 O
0.858 0.772 0.047 O
```

=====

No. 8
Here is a geometry-optimized SrPm2RhO5 structure from the Alexandria database. Energies are from PBE-GGA.

Cell and atoms, written as POSCAR:
```
SrPm2RhO5
1.0
6.717 0.000 0.000
0.000 6.717 0.000
0.000 0.000 5.869
Sr Pm Rh O
2 4 2 10
direct
0.000 0.000 0.000 Sr
0.500 0.500 0.000 Sr
0.173 0.327 0.500 Pm
0.327 0.827 0.500 Pm
0.673 0.173 0.500 Pm
0.827 0.673 0.500 Pm
0.000 0.500 0.000 Rh
0.500 0.000 0.000 Rh
0.000 0.000 0.500 O
0.143 0.643 0.250 O
0.143 0.643 0.750 O
0.357 0.143 0.250 O
0.357 0.143 0.750 O
0.500 0.500 0.500 O
0.643 0.857 0.250 O
0.643 0.857 0.750 O
0.857 0.357 0.250 O
0.857 0.357 0.750 O
```

=====

No. 9
Here is a geometry-optimized Sr2PmRhO5 structure from the Alexandria database. Energies are from PBE-GGA.

Cell and atoms, written as POSCAR:
```
Sr2PmRhO5
1.0
-3.260 3.260 6.282
3.260 -3.260 6.282
3.260 3.260 -6.282
Sr Pm Rh O
4 2 2 10
direct
0.169 0.669 0.837 Sr
0.331 0.169 0.500 Sr
0.669 0.831 0.500 Sr
0.831 0.331 0.163 Sr
0.250 0.250 0.000 Pm
0.750 0.750 0.000 Pm
0.250 0.750 0.500 Rh
0.750 0.250 0.500 Rh
0.000 0.000 0.000 O
0.010 0.210 0.500 O
0.210 0.710 0.200 O
0.290 0.490 0.500 O
0.490 0.990 0.200 O
0.500 0.500 0.000 O
0.510 0.010 0.800 O
0.710 0.510 0.500 O
0.790 0.290 0.800 O
0.990 0.790 0.500 O
```

=====

No. 10
Here is a geometry-optimized PmTe2RhO8 structure from the Alexandria database. Energies are from PBE-GGA.

Cell and atoms, written as POSCAR:
```
PmTe2RhO8
1.0
-3.590 3.590 3.554
3.590 -3.590 3.554
3.590 3.590 -3.554
Pm Te Rh O
1 2 1 8
direct
0.000 0.000 0.000 Pm
0.250 0.750 0.500 Te
0.500 0.500 0.000 Te
0.750 0.250 0.500 Rh
0.080 0.390 0.310 O
0.080 0.770 0.690 O
0.097 0.301 0.796 O
0.230 0.920 0.310 O
0.505 0.301 0.204 O
0.610 0.920 0.690 O
0.699 0.495 0.796 O
0.699 0.903 0.204 O
```

=====

No. 11
Here is a geometry-optimized PmTeRh2O8 structure from the Alexandria database. Energies are from PBE-GGA.

Cell and atoms, written as POSCAR:
```
PmTeRh2O8
1.0
4.697 0.000 0.000
0.000 6.674 0.000
-0.095 0.000 4.809
Pm Te Rh O
1 1 2 8
direct
0.000 0.000 0.000 Pm
0.000 0.500 0.000 Te
0.500 0.255 0.500 Rh
0.500 0.745 0.500 Rh
0.223 0.280 0.170 O
0.223 0.720 0.170 O
0.280 0.500 0.664 O
0.302 0.000 0.638 O
0.698 0.000 0.362 O
0.720 0.500 0.336 O
0.777 0.280 0.830 O
0.777 0.720 0.830 O
```

=====

No. 12
Here is a geometry-optimized PmTiRh2O6 structure from the Alexandria database. Energies are from PBE-GGA.

Cell and atoms, written as POSCAR:
```
PmTiRh2O6
1.0
5.327 0.000 0.000
-2.663 4.616 0.000
-0.006 -3.070 4.970
Pm Ti Rh O
1 1 2 6
direct
0.000 0.000 0.000 Pm
0.508 0.016 0.524 Ti
0.202 0.403 0.604 Rh
0.707 0.414 0.121 Rh
0.126 0.568 0.355 O
0.340 0.242 0.809 O
0.442 0.230 0.356 O
0.567 0.907 0.809 O
0.787 0.914 0.356 O
0.902 0.469 0.809 O
```

=====

No. 13
Here is a geometry-optimized PmTiRhO6 structure from the Alexandria database. Energies are from PBE-GGA.

Cell and atoms, written as POSCAR:
```
PmTiRhO6
1.0
5.179 0.000 0.000
-2.589 4.485 0.000
0.000 0.000 10.174
Pm Ti Rh O
2 2 2 12
direct
0.000 0.000 0.000 Pm
0.000 0.000 0.500 Pm
0.333 0.667 0.250 Ti
0.667 0.333 0.750 Ti
0.333 0.667 0.750 Rh
0.667 0.333 0.250 Rh
0.001 0.363 0.144 O
0.001 0.639 0.356 O
0.361 0.363 0.356 O
0.361 0.999 0.144 O
0.363 0.001 0.644 O
0.363 0.361 0.856 O
0.637 0.639 0.144 O
0.637 0.999 0.356 O
0.639 0.001 0.856 O
0.639 0.637 0.644 O
0.999 0.361 0.644 O
0.999 0.637 0.856 O
```

=====

No. 14
Here is a geometry-optimized Pm2TlRhO6 structure from the Alexandria database. Energies are from PBE-GGA.

Cell and atoms, written as POSCAR:
```
Pm2TlRhO6
1.0
5.593 0.000 0.000
0.000 6.005 0.000
-5.390 0.000 8.131
Pm Tl Rh O
4 2 2 12
direct
0.222 0.074 0.250 Pm
0.222 0.426 0.750 Pm
0.778 0.574 0.250 Pm
0.778 0.926 0.750 Pm
0.500 0.000 0.000 Tl
0.500 0.500 0.500 Tl
0.000 0.000 0.500 Rh
0.000 0.500 0.000 Rh
0.098 0.206 0.927 O
0.098 0.294 0.427 O
0.235 0.683 0.934 O
0.235 0.817 0.434 O
0.369 0.058 0.732 O
0.369 0.442 0.232 O
0.631 0.558 0.768 O
0.631 0.942 0.268 O
0.765 0.183 0.566 O
0.765 0.317 0.066 O
0.902 0.706 0.573 O
0.902 0.794 0.073 O
```

=====

No. 15
Here is a geometry-optimized Pm2Tl3RhO6 structure from the Alexandria database. Energies are from PBE-GGA.

Cell and atoms, written as POSCAR:
```
Pm2Tl3RhO6
1.0
2.999 -5.190 0.000
2.999 5.190 0.000
-1.988 0.000 6.524
Pm Tl Rh O
2 3 1 6
direct
0.167 0.833 0.000 Pm
0.833 0.167 0.000 Pm
0.000 0.000 0.500 Tl
0.336 0.664 0.500 Tl
0.664 0.336 0.500 Tl
0.500 0.500 0.000 Rh
0.135 0.442 0.828 O
0.256 0.256 0.184 O
0.442 0.135 0.828 O
0.558 0.865 0.172 O
0.744 0.744 0.816 O
0.865 0.558 0.172 O
```

=====

No. 16
Here is a geometry-optimized Pm2TmRhO6 structure from the Alexandria database. Energies are from PBE-GGA.

Cell and atoms, written as POSCAR:
```
Pm2TmRhO6
1.0
5.597 0.000 0.000
0.000 5.908 0.000
-5.353 0.000 8.060
Pm Tm Rh O
4 2 2 12
direct
0.225 0.065 0.249 Pm
0.225 0.435 0.749 Pm
0.775 0.565 0.251 Pm
0.775 0.935 0.751 Pm
0.500 0.000 0.000 Tm
0.500 0.500 0.500 Tm
0.000 0.000 0.500 Rh
0.000 0.500 0.000 Rh
0.124 0.202 0.938 O
0.124 0.298 0.438 O
0.237 0.695 0.937 O
0.237 0.805 0.437 O
0.365 0.050 0.740 O
0.365 0.450 0.240 O
0.635 0.550 0.760 O
0.635 0.950 0.260 O
0.763 0.195 0.563 O
0.763 0.305 0.063 O
0.876 0.702 0.562 O
0.876 0.798 0.062 O
```

=====

| no. | formation energy from raw total energies (eV per atom) | energy (eV per atom) |
| --- | --- | --- |
| 1 | -2.102 | -7.69 |
| 2 | -1.524 | -6.53 |
| 3 | -1.798 | -7.09 |
| 4 | -1.780 | -6.89 |
| 5 | -2.789 | -8.08 |
| 6 | -2.068 | -7.42 |
| 7 | -2.230 | -6.75 |
| 8 | -2.551 | -7.36 |
| 9 | -1.973 | -6.45 |
| 10 | -1.097 | -5.93 |
| 11 | -1.235 | -6.42 |
| 12 | -1.929 | -7.64 |
| 13 | -2.174 | -7.70 |
| 14 | -2.024 | -6.92 |
| 15 | -1.633 | -6.11 |
| 16 | -2.771 | -7.88 |